Version one
Crystalline V2P2Cl at its relaxed geometry. Source: the Alexandria database, functional GGA-PBE.

Output
- calculated volume (Å³ per cell) = 147.90
- total magnetic moment (Bohr magnetons per cell) = 0.00

Cell: 7.105 7.105 2.930 Å, 90.00 90.00 90.00°
Space group P4/mbm (No. 127)
Inequivalent atoms, fractional coordinates:
V  0.148  0.352  0.000
P  0.131  0.631  0.500
Cl  0.000  0.000  0.500

***

Version two
Crystalline V2P2Cl at its relaxed geometry. Source: the Alexandria database, functional GGA-PBE.

Output
- calculated volume (Å³ per cell) = 165.05
- total magnetic moment (Bohr magnetons per cell) = 7.32

Cell: 4.421 4.421 8.443 Å, 90.00 90.00 90.00°
Space group I4/mmm (No. 139)
Inequivalent atoms, fractional coordinates:
V  0.000  0.500  0.250
P  0.000  0.000  0.131
Cl  0.000  0.000  0.500

***

Energy comparison, zero being the most stable, in eV/atom: version one 0.191; version two 0.000.

***

Version one
Crystalline VPCl3 at its relaxed geometry. Source: the Alexandria database, functional GGA-PBE.

Output
- calculated volume (Å³ per cell) = 116.67
- total magnetic moment (Bohr magnetons per cell) = 3.98

Cell: 4.886 4.886 4.886 Å, 90.00 90.00 90.00°
Space group Pm-3m (No. 221)
Inequivalent atoms, fractional coordinates:
V  0.000  0.000  0.000
P  0.500  0.500  0.500
Cl  0.000  0.500  0.500

***

Version two
Crystalline VPCl3 at its relaxed geometry. Source: the Alexandria database, functional GGA-PBE.

Output
- calculated volume (Å³ per cell) = 114.89
- total magnetic moment (Bohr magnetons per cell) = 5.00

Cell: 4.861 4.861 4.861 Å, 90.00 90.00 90.00°
Space group Pm-3m (No. 221)
Inequivalent atoms, fractional coordinates:
V  0.000  0.000  0.000
P  0.500  0.500  0.500
Cl  0.000  0.000  0.500

***

Energy comparison, zero being the most stable, in eV/atom: version one 0.469; version two 0.000.

***

Version one
Crystalline VPWCl2 at its relaxed geometry. Source: the Alexandria database, functional GGA-PBE.

Output
- calculated volume (Å³ per cell) = 104.99
- total magnetic moment (Bohr magnetons per cell) = 5.99

Cell: 4.480 4.480 5.231 Å, 90.00 90.00 90.00°
Space group P4/mmm (No. 123)
Inequivalent atoms, fractional coordinates:
V  0.000  0.000  0.000
P  0.000  0.000  0.500
W  0.500  0.500  0.500
Cl  0.000  0.500  0.000

***

Version two
Crystalline VPWCl2 at its relaxed geometry. Source: the Alexandria database, functional GGA-PBE.

Output
- calculated volume (Å³ per cell) = 108.11
- total magnetic moment (Bohr magnetons per cell) = 0.51

Cell: 4.729 4.729 4.835 Å, 90.00 90.00 90.00°
Space group P4/mmm (No. 123)
Inequivalent atoms, fractional coordinates:
V  0.000  0.000  0.000
P  0.500  0.500  0.000
W  0.500  0.500  0.500
Cl  0.000  0.500  0.500

***

Energy comparison, zero being the most stable, in eV/atom: version one 0.000; version two 0.114.

***

Version one
Crystalline YVPCl2 at its relaxed geometry. Source: the Alexandria database, functional GGA-PBE.

Output
- calculated volume (Å³ per cell) = 108.45
- total magnetic moment (Bohr magnetons per cell) = 2.89

Cell: 4.582 4.582 5.166 Å, 90.00 90.00 90.00°
Space group P4/mmm (No. 123)
Inequivalent atoms, fractional coordinates:
Y  0.000  0.000  0.000
V  0.500  0.500  0.500
P  0.500  0.500  0.000
Cl  0.000  0.500  0.500

***

Version two
Crystalline YVPCl2 at its relaxed geometry. Source: the Alexandria database, functional GGA-PBE.

Output
- calculated volume (Å³ per cell) = 145.15
- total magnetic moment (Bohr magnetons per cell) = 3.03

Cell: 5.096 5.096 5.588 Å, 90.00 90.00 90.00°
Space group P4/mmm (No. 123)
Inequivalent atoms, fractional coordinates:
Y  0.000  0.000  0.000
V  0.500  0.500  0.500
P  0.000  0.000  0.500
Cl  0.000  0.500  0.000

***

Energy comparison, zero being the most stable, in eV/atom: version one 0.000; version two 0.356.

***

Version one
Crystalline VZnPCl2 at its relaxed geometry. Source: the Alexandria database, functional GGA-PBE.

Output
- calculated volume (Å³ per cell) = 109.77
- total magnetic moment (Bohr magnetons per cell) = 2.28

Cell: 4.638 4.638 5.102 Å, 90.00 90.00 90.00°
Space group P4/mmm (No. 123)
Inequivalent atoms, fractional coordinates:
V  0.000  0.000  0.000
Zn  0.500  0.500  0.500
P  0.500  0.500  0.000
Cl  0.000  0.500  0.500

***

Version two
Crystalline VZnPCl2 at its relaxed geometry. Source: the Alexandria database, functional GGA-PBE.

Output
- calculated volume (Å³ per cell) = 103.30
- total magnetic moment (Bohr magnetons per cell) = 0.00

Cell: 4.623 4.623 4.834 Å, 90.00 90.00 90.00°
Space group P4/mmm (No. 123)
Inequivalent atoms, fractional coordinates:
V  0.000  0.000  0.000
Zn  0.500  0.500  0.500
P  0.000  0.000  0.500
Cl  0.000  0.500  0.000

***

Energy comparison, zero being the most stable, in eV/atom: version one 0.495; version two 0.000.

***

Version one
Crystalline PWCl2 at its relaxed geometry. Source: the Alexandria database, functional GGA-PBE.

Output
- calculated volume (Å³ per cell) = 243.94
- total magnetic moment (Bohr magnetons per cell) = 0.73

Cell: 3.0239 3.0239 30.8048 Å, 90.00 90.00 120.00°
Space group R-3m (No. 166, hexagonal axes)
Inequivalent atoms, fractional coordinates:
P  0.0000  0.0000  0.0000
W  0.0000  0.0000  0.5000
Cl  0.0000  0.0000  0.2243

***

Version two
Crystalline PWCl2 at its relaxed geometry. Source: the Alexandria database, functional GGA-PBE.

Output
- calculated volume (Å³ per cell) = 133.78
- total magnetic moment (Bohr magnetons per cell) = 0.00

Cell: 5.558 8.447 2.849 Å, 90.00 90.00 90.00°
Space group Cmmm (No. 65)
Inequivalent atoms, fractional coordinates:
P  0.000  0.000  0.000
W  0.000  0.500  0.000
Cl  0.250  0.250  0.500

***

Version three
Crystalline PWCl2 at its relaxed geometry. Source: the Alexandria database, functional GGA-PBE.

Output
- calculated volume (Å³ per cell) = 89.22
- total magnetic moment (Bohr magnetons per cell) = 0.00

Cell: 3.166 3.166 8.899 Å, 90.00 90.00 90.00°
Space group P4mm (No. 99)
Inequivalent atoms, fractional coordinates:
P  0.000  0.000  0.000
W  0.500  0.500  0.880
Cl  0.000  0.000  0.232
Cl  0.500  0.500  0.627

***

Version four
Crystalline PWCl2 at its relaxed geometry. Source: the Alexandria database, functional GGA-PBE.

Output
- calculated volume (Å³ per cell) = 189.02
- total magnetic moment (Bohr magnetons per cell) = 1.60

Cell: 2.824 5.571 12.016 Å, 90.00 90.00 90.00°
Space group Cmmm (No. 65)
Inequivalent atoms, fractional coordinates:
P  0.000  0.000  0.000
W  0.000  0.000  0.500
Cl  0.000  0.500  0.335

***

Energy comparison, zero being the most stable, in eV/atom: version one 0.634; version two 1.401; version three 0.000; version four 0.705.